A plane-wave DFT calculation with PBE was carried out for crystalline Pr3HoIn at its relaxed geometry.

a = 4.9497 Å, b = 4.9465 Å, c = 13.1663 Å
α = 90.00°, β = 79.17°, γ = 90.00°
Closest atoms and distances in Å follow each position.
Sites, in units of the cell vectors:
Ho 0.4762 0.7500 0.6959  8 Pr 3.50-3.55, 4 In 3.50
Pr 0.0749 0.7500 0.4986  4 Pr 3.50, 4 In 3.50-3.52, 4 Ho 3.53-3.55
In 0.6706 0.7500 0.3072  4 Ho 3.50, 8 Pr 3.50-3.57
Pr 0.8783 0.7500 0.8917  8 Pr 3.50-3.78, 2 Ho 3.54, 2 In 3.57
Ho 0.1721 0.2500 0.3041  8 Pr 3.50-3.55, 4 In 3.50
In 0.9778 0.2500 0.6928  4 Ho 3.50, 8 Pr 3.50-3.57
Pr 0.5735 0.2500 0.5014  4 Pr 3.50, 4 In 3.50-3.52, 4 Ho 3.53-3.55
Pr 0.3806 0.2500 0.8871  2 Ho 3.50, 8 Pr 3.50-3.83, 2 In 3.53
Pr 0.2677 0.7500 0.1129  2 Ho 3.50, 8 Pr 3.50-3.83, 2 In 3.53
Pr 0.7700 0.2500 0.1083  8 Pr 3.50-3.78, 2 Ho 3.54, 2 In 3.57

Values from the calculation:
For the density of states at the Fermi level, the calculation gives 12.03 states/eV per cell. The spin magnetization comes out at 0.00 Bohr magnetons per cell. The calculation puts the formation energy at -0.186 eV per atom. The value obtained for the offset from the most stable computed form is 0.00 eV per formula unit.